The following is a DFT calculation (PBE) of crystalline Ce3ScAs4 at its relaxed geometry.

a = 7.165 Å, b = 8.279 Å, c = 7.176 Å
α = 90.00°, β = 109.53°, γ = 90.00°
Space group P2/c (No. 13)
Inequivalent atoms, fractional coordinates:
Ce 0.000 0.124 0.250 x2
Ce 0.000 0.373 0.750 x2
Ce 0.500 0.372 0.250 x2
Sc 0.500 0.124 0.750 x2
As 0.257 0.368 0.507 x4
As 0.263 0.118 0.000 x4

* density: 6.33 Mg/m³
* E_tot: -107.62 eV per cell
* formation energy from the elements: -11.080 eV/f.u.
* total moment: 4.128 μB per cell